# 1
The following is a GGA-PBE calculation of a relaxed structure of BeMo2P, from the Alexandria database.

Geometry as extended XYZ:
```
4
Lattice="2.804 -3.478 0.000 2.804 3.478 0.000 -0.942 0.000 2.745" Properties=species:S:1:pos:R:3 pbc="T T T"
Be 0.000 0.000 0.000
Mo 0.931 1.739 1.373
Mo 0.931 -1.739 1.373
P 2.804 0.000 0.000
```

Calculated values
energy above the most stable polymorph in this dataset	374	meV per atom
electronic total energy	-7.666	eV per atom
mass density	7.2	g/cm3
D(E_F)	2.26	states/eV per cell
crystal system	monoclinic

***

# 2
The following is a GGA-PBE calculation of a relaxed structure of BeMo2P, from the Alexandria database.

Geometry as extended XYZ:
```
4
Lattice="0.000 2.987 2.987 2.987 0.000 2.987 2.987 2.987 0.000" Properties=species:S:1:pos:R:3 pbc="T T T"
Be 0.000 0.000 0.000
Mo 1.493 1.493 1.493
Mo 2.987 2.987 2.987
P 4.480 4.480 4.480
```

Calculated values
energy above the most stable polymorph in this dataset	536	meV per atom
electronic total energy	-7.504	eV per atom
mass density	7.2	g/cm3
D(E_F)	2.58	states/eV per cell
crystal system	cubic

***

# 3
The following is a GGA-PBE calculation of a relaxed structure of BeMo2P, from the Alexandria database.

Geometry as extended XYZ:
```
4
Lattice="0.000 2.947 2.947 2.947 0.000 2.947 2.947 2.947 0.000" Properties=species:S:1:pos:R:3 pbc="T T T"
Be 0.000 0.000 0.000
Mo 1.474 1.474 1.474
Mo 4.421 4.421 4.421
P 2.947 2.947 2.947
```

Calculated values
energy above the most stable polymorph in this dataset	312	meV per atom
electronic total energy	-7.729	eV per atom
mass density	7.5	g/cm3
D(E_F)	3.05	states/eV per cell
crystal system	cubic

***

# 4
The following is a GGA-PBE calculation of a relaxed structure of BeMoP2, from the Alexandria database.

Geometry as extended XYZ:
```
4
Lattice="2.626 -3.136 0.000 2.626 3.136 0.000 0.000 0.000 3.105" Properties=species:S:1:pos:R:3 pbc="T T T"
Be 0.000 0.000 0.000
Mo 2.626 0.000 0.000
P 1.313 1.568 1.552
P 1.313 -1.568 1.552
```

Calculated values
electronic total energy	-6.219	eV per atom
mass density	5.4	g/cm3
D(E_F)	2.34	states/eV per cell
crystal system	orthorhombic

***

# 5
The following is a GGA-PBE calculation of a relaxed structure of BeMoP2, from the Alexandria database.

Geometry as extended XYZ:
```
4
Lattice="3.133 0.000 0.000 0.000 3.661 0.000 -1.549 0.000 4.697" Properties=species:S:1:pos:R:3 pbc="T T T"
Be 0.000 0.000 0.000
Mo 1.561 1.831 1.114
P -0.001 0.000 2.080
P 1.574 1.831 3.764
```

Calculated values
electronic total energy	-6.439	eV per atom
mass density	5.1	g/cm3
D(E_F)	1.61	states/eV per cell
crystal system	monoclinic

***

# 6
The following is a GGA-PBE calculation of a relaxed structure of BeMoP2, from the Alexandria database.

Geometry as extended XYZ:
```
4
Lattice="4.067 -1.483 0.000 4.067 1.483 0.000 -0.261 0.000 4.324" Properties=species:S:1:pos:R:3 pbc="T T T"
Be 0.000 0.000 0.000
Mo 3.937 0.000 2.162
P 1.637 0.000 3.190
P 6.236 0.000 1.134
```

Calculated values
electronic total energy	-6.313	eV per atom
mass density	5.3	g/cm3
D(E_F)	2.24	states/eV per cell
crystal system	monoclinic

***

Question: The highest electronic total energy belongs to which entry?
Answer: number 4

***

Question: Which of these has the lowest electronic total energy?
Answer: number 3